No. 1
Here is crystalline LaGdZnTc at its relaxed geometry from Alexandria via LeMat-Bulk. Energies are from GGA-PBE.

a b c (Å): 5.0681 5.0681 5.0681
angles (deg): 60.00 60.00 60.00
Last column: nearest neighbours and their distance in Å.
Sites, in units of the cell vectors:
Zn: 0.0000 0.0000 0.0000  4 Gd 3.10, 4 La 3.10
Gd: 0.7500 0.7500 0.7500  4 Zn 3.10, 4 Tc 3.10
Tc: 0.5000 0.5000 0.5000  4 La 3.10, 4 Gd 3.10
La: 0.2500 0.2500 0.2500  4 Tc 3.10, 4 Zn 3.10

Values from the calculation:
The value obtained for the electronic total energy is -0.567 Ry per atom. Its space-group type is F-43m. The density of states at the Fermi level comes out at 2.108 states/eV per cell. Its formation energy is -0.056 eV per atom. The density comes out at 8.29 g/cm³.



No. 2
Here is crystalline Mn3SiH at its relaxed geometry from Alexandria via LeMat-Bulk. Energies are from GGA-PBE.

a b c (Å): 4.6006 4.9604 4.6672
angles (deg): 97.20 116.45 95.58
Last column: nearest neighbours and their distance in Å.
Sites, in units of the cell vectors:
H: 0.4947 0.5800 0.9709  5 Mn 1.70-1.84
H: 0.4263 0.0847 0.0533  5 Mn 1.70-1.84
Si: 0.2152 0.5975 0.2419  1 H 2.17, 3 Mn 2.38-2.42
Si: 0.7057 0.0671 0.7823  1 H 2.17, 3 Mn 2.38-2.42
Mn: 0.7314 0.8836 0.2903  2 H 1.83
Mn: 0.7477 0.3833 0.2734  2 H 1.81-1.84
Mn: 0.1731 0.2814 0.7507  2 H 1.81-1.84
Mn: 0.6918 0.5597 0.7365  1 H 1.70
Mn: 0.2291 0.1049 0.2878  1 H 1.70
Mn: 0.1894 0.7810 0.7338  2 H 1.83

Values from the calculation:
As for the distance to the lowest polymorph of the same formula: 102 meV per atom. The value obtained for the electronic total energy is -0.544 Ry per atom. Its space-group type is P-1. The density of states at the Fermi level comes out at 7.921 states/eV per cell. The density comes out at 6.91 g/cm³.



No. 3
Here is crystalline MnFeOs2 at its relaxed geometry from Alexandria via LeMat-Bulk. Energies are from GGA-PBE.

a b c (Å): 2.6326 3.6733 5.2610
angles (deg): 90.00 90.00 90.00
Last column: nearest neighbours and their distance in Å.
Sites, in units of the cell vectors:
Fe: 0.5000 0.5000 0.2500  8 Os 2.61, 2 Mn 2.63, 2 Fe 2.63
Mn: 0.5000 0.5000 0.7500  8 Os 2.62, 2 Fe 2.63, 2 Mn 2.63
Os: 0.0000 0.0000 0.0026  4 Os 2.60-2.66, 4 Fe 2.61, 4 Mn 2.62
Os: 0.0000 0.0000 0.4974  4 Os 2.60-2.66, 4 Fe 2.61, 4 Mn 2.62

Values from the calculation:
The value obtained for the electronic total energy is -0.728 Ry per atom. Its space-group type is Pmmm. The density of states at the Fermi level comes out at 4.336 states/eV per cell. Its formation energy is 0.118 eV per atom. The density comes out at 16.03 g/cm³.



No. 4
Here is crystalline Li4In4Sn3 at its relaxed geometry from Alexandria via LeMat-Bulk. Energies are from GGA-PBE.

a b c (Å): 3.3115 4.2850 17.9205
angles (deg): 96.27 95.25 89.92
Last column: nearest neighbours and their distance in Å.
Sites, in units of the cell vectors:
Li: 0.5386 0.5414 0.0845  3 Li 3.00-3.31, 5 Sn 3.08-3.30, 4 In 3.15-3.17
Li: 0.4614 0.4586 0.9154  3 Li 3.00-3.31, 5 Sn 3.08-3.30, 4 In 3.15-3.17
Li: 0.8266 0.8233 0.6401  4 Sn 3.12-3.16, 6 In 3.14-3.33, 2 Li 3.31
Li: 0.1733 0.1768 0.3600  4 Sn 3.12-3.16, 6 In 3.14-3.33, 2 Li 3.31
In: 0.0831 0.0857 0.1763  5 Sn 3.13-3.19, 5 Li 3.15-3.26, 2 In 3.31
In: 0.2763 0.2732 0.5474  5 Li 3.14-3.33, 6 In 3.17-3.31, 1 Sn 3.22
In: 0.7237 0.7268 0.4526  5 Li 3.14-3.33, 6 In 3.17-3.31, 1 Sn 3.23
In: 0.9168 0.9144 0.8237  5 Sn 3.13-3.19, 5 Li 3.15-3.26, 2 In 3.31
Sn: 0.6283 0.6299 0.2708  5 Li 3.12-3.30, 5 In 3.18-3.23, 2 Sn 3.31
Sn: 0.3717 0.3701 0.7292  5 Li 3.12-3.30, 5 In 3.18-3.22, 2 Sn 3.31
Sn: 0.0000 0.0000 0.0000  8 Li 3.08-3.11, 2 In 3.13, 2 Sn 3.31

Values from the calculation:
As for the distance to the lowest polymorph of the same formula: 0 meV per atom. The value obtained for the electronic total energy is -0.219 Ry per atom. Its space-group type is P-1. The density of states at the Fermi level comes out at 3.163 states/eV per cell. Its formation energy is -0.198 eV per atom. The density comes out at 5.56 g/cm³.



Repeat the third record exactly.
Here is crystalline MnFeOs2 at its relaxed geometry from Alexandria via LeMat-Bulk. Energies are from GGA-PBE.

a b c (Å): 2.6326 3.6733 5.2610
angles (deg): 90.00 90.00 90.00
Last column: nearest neighbours and their distance in Å.
Sites, in units of the cell vectors:
Fe: 0.5000 0.5000 0.2500  8 Os 2.61, 2 Mn 2.63, 2 Fe 2.63
Mn: 0.5000 0.5000 0.7500  8 Os 2.62, 2 Fe 2.63, 2 Mn 2.63
Os: 0.0000 0.0000 0.0026  4 Os 2.60-2.66, 4 Fe 2.61, 4 Mn 2.62
Os: 0.0000 0.0000 0.4974  4 Os 2.60-2.66, 4 Fe 2.61, 4 Mn 2.62

Values from the calculation:
The value obtained for the electronic total energy is -0.728 Ry per atom. Its space-group type is Pmmm. The density of states at the Fermi level comes out at 4.336 states/eV per cell. Its formation energy is 0.118 eV per atom. The density comes out at 16.03 g/cm³.



What is the electronic total energy in the second record?
-0.544 Ry per atom



Among the records above, which one has the highest electronic total energy?
Li4In4Sn3